[1]
DFT (PBE) results for a geometry-optimized Nb5AuN structure.

M_tot = 0.0 μB/f.u.
energy relative to the elements, uncorrected = -319.8 meV/atom
symmetry = C2/c, No. 15

Cell: 5.5179 5.5179 7.7897 Å, 97.16 97.16 93.42°
Sites, in units of the cell vectors:
Nb1 0.1067 0.8933 0.7500
Nb2 0.1088 0.6403 0.3716
Nb3 0.1723 0.3532 0.9804
Nb4 0.3532 0.1723 0.4804
Nb5 0.3597 0.8912 0.1284
Nb6 0.6403 0.1088 0.8716
Nb7 0.6468 0.8277 0.5196
Nb8 0.8277 0.6468 0.0196
Nb9 0.8912 0.3597 0.6284
Nb10 0.8933 0.1067 0.2500
Au1 0.4462 0.5538 0.7500
Au2 0.5538 0.4462 0.2500
N1 0.0000 0.0000 0.0000
N2 0.0000 0.0000 0.5000

***

[2]
DFT (PBE) results for a geometry-optimized Ce2Sm2In3 structure.

M_tot = 1.4 μB/f.u.
formation enthalpy at 0 K = -0.347 eV per atom
symmetry = Cmmm, No. 65
E above lowest polymorph = 0.000 eV/atom

Cell: 12.3599 12.3599 3.4321 Å, 90.00 90.00 158.69°
Sites, in units of the cell vectors:
Ce1 0.2158 0.7842 0.0000
Ce2 0.7842 0.2158 0.0000
Sm1 0.0732 0.9268 0.0000
Sm2 0.9268 0.0732 0.0000
In1 0.3538 0.6462 0.5000
In2 0.5000 0.5000 0.5000
In3 0.6462 0.3538 0.5000

***

[3]
DFT (PBE) results for a geometry-optimized ThSc3Bi3 structure.

M_tot = 0.0 μB/f.u.
formation enthalpy at 0 K = -0.445 eV per atom
symmetry = R-3, No. 148

Cell: 7.9894 7.9894 7.9894 Å, 68.05 68.05 68.05°
Sites, in units of the cell vectors:
Th1 0.1658 0.1658 0.1658
Th2 0.8342 0.8342 0.8342
Sc1 0.1552 0.4276 0.6965
Sc2 0.3035 0.8448 0.5724
Sc3 0.4276 0.6965 0.1552
Sc4 0.5724 0.3035 0.8448
Sc5 0.6965 0.1552 0.4276
Sc6 0.8448 0.5724 0.3035
Bi1 0.0335 0.7820 0.4097
Bi2 0.2180 0.5903 0.9665
Bi3 0.4097 0.0335 0.7820
Bi4 0.5903 0.9665 0.2180
Bi5 0.7820 0.4097 0.0335
Bi6 0.9665 0.2180 0.5903

***

[4]
DFT (PBE) results for a geometry-optimized CsRb6Cd3 structure.

M_tot = 0.0 μB/f.u.
formation enthalpy at 0 K = 0.012 eV per atom
symmetry = Cmc2_1, No. 36

Cell: 11.6045 11.6045 9.7989 Å, 90.00 90.00 94.11°
Sites, in units of the cell vectors:
Cs1 0.2146 0.7854 0.5000
Cs2 0.7854 0.2146 0.0000
Rb1 0.0427 0.5154 0.1675
Rb2 0.1656 0.8344 0.9549
Rb3 0.2108 0.2207 0.9231
Rb4 0.2207 0.2108 0.4231
Rb5 0.4767 0.5233 0.1213
Rb6 0.4846 0.9573 0.1675
Rb7 0.5154 0.0427 0.6675
Rb8 0.5233 0.4767 0.6213
Rb9 0.7793 0.7892 0.9231
Rb10 0.7892 0.7793 0.4231
Rb11 0.8344 0.1656 0.4549
Rb12 0.9573 0.4846 0.6675
Cd1 0.0030 0.9970 0.2030
Cd2 0.2559 0.5533 0.8262
Cd3 0.4467 0.7441 0.8262
Cd4 0.5533 0.2559 0.3262
Cd5 0.7441 0.4467 0.3262
Cd6 0.9970 0.0030 0.7030

***

[5]
DFT (PBE) results for a geometry-optimized Rb2ScTaMn structure.

M_tot = 2.7 μB/f.u.
formation enthalpy at 0 K = 2.085 eV per atom
symmetry = P4/mmm, No. 123

Cell: 6.2626 6.2626 4.8923 Å, 90.00 90.00 90.00°
Sites, in units of the cell vectors:
Rb1 0.0000 0.5000 0.0000
Rb2 0.5000 0.0000 0.0000
Sc1 0.0000 0.0000 0.5000
Ta1 0.5000 0.5000 0.5000
Mn1 0.0000 0.0000 0.0000